1.
Density functional theory data (PBE) for crystalline Y7Tm3Pu at its relaxed geometry.

The space group is Cmcm (No. 63) and the conventional cell measures 18.371, 6.782 and 11.161 Å, with angles of 90.00, 90.00 and 90.00 degrees. The distinct sites, in fractional coordinates, are Y at (0.000, 0.242, 0.250), Y at (0.089, 0.277, 0.750), Y at (0.160, 0.255, 0.036), Tm at (0.000, 0.000, 0.000), Tm at (0.243, 0.008, 0.750) and Pu at (0.000, 0.500, 0.000).

For the total energy, the calculation gives -6.487 eV/atom. Its formation energy is 0.1489 eV per atom. For the density of states at the Fermi level, the calculation gives 18.295 states/eV/f.u. Its density is 6.56 Mg/m³.

=====

2.
Density functional theory data (PBE) for crystalline YTmPu at its relaxed geometry.

The space group is I4mm (No. 107) and the conventional cell measures 3.488, 3.488 and 14.748 Å, with angles of 90.00, 90.00 and 90.00 degrees. The distinct sites, in fractional coordinates, are Y at (0.000, 0.000, 0.000), Tm at (0.000, 0.000, 0.672) and Pu at (0.000, 0.000, 0.333).

For the energy above the most stable polymorph in this dataset, the calculation gives 0.0 kJ/mol of atoms. For the total energy, the calculation gives -8.311 eV/atom. Its formation energy is 0.1120 eV per atom. For the density of states at the Fermi level, the calculation gives 7.132 states/eV/f.u. Its density is 9.29 Mg/m³.

=====

3.
Density functional theory data (PBE) for crystalline YTm2Pu at its relaxed geometry.

The space group is P4/mmm (No. 123) and the conventional cell measures 3.477, 3.477 and 9.888 Å, with angles of 90.00, 90.00 and 90.00 degrees. The distinct sites, in fractional coordinates, are Y at (0.000, 0.000, 0.000), Tm at (0.500, 0.500, 0.257) and Pu at (0.000, 0.000, 0.500).

For the energy above the most stable polymorph in this dataset, the calculation gives 0.6 kJ/mol of atoms. For the total energy, the calculation gives -7.341 eV/atom. Its formation energy is 0.0936 eV per atom. For the density of states at the Fermi level, the calculation gives 10.247 states/eV/f.u. Its density is 9.32 Mg/m³.

=====

Question: Which of these has the highest total energy?
Answer: Y7Tm3Pu